# PmY7Ho3 (PBE, optimized geometry)
data_PmY7Ho3
_symmetry_space_group_name_H-M 'P 1'
_symmetry_Int_Tables_number 1
_cell_length_a 5.5601
_cell_length_b 9.9776
_cell_length_c 8.8819
_cell_angle_alpha 105.03
_cell_angle_beta 128.75
_cell_angle_gamma 90.00
loop_
_symmetry_equiv_pos_as_xyz
'x,y,z'
loop_
_atom_site_label
_atom_site_type_symbol
_atom_site_fract_x
_atom_site_fract_y
_atom_site_fract_z
Pm1 Pm 0.5000 0.5000 0.5000
Y1 Y 0.9238 0.8313 0.9237
Y2 Y 0.8524 0.7114 0.3525
Y3 Y 0.6777 0.3600 0.1778
Y4 Y 0.3223 0.6400 0.8222
Y5 Y 0.5000 0.0000 0.5000
Y6 Y 0.1476 0.2886 0.6475
Y7 Y 0.0762 0.1687 0.0763
Ho1 Ho 0.2768 0.9966 0.7770
Ho2 Ho 0.0000 0.5000 0.0000
Ho3 Ho 0.7232 0.0034 0.2230
# SG = P2/m, No. 10
# E_form = 0.14 eV/atom
# E above lowest polymorph = 0.0 meV/atom
# Mass density = 5783 kg/m3
# Total moment = 0.000 μB/atom



# Pm4Y15Ho (PBE, optimized geometry)
data_Pm4Y15Ho
_symmetry_space_group_name_H-M 'P 1'
_symmetry_Int_Tables_number 1
_cell_length_a 5.0725
_cell_length_b 5.0725
_cell_length_c 25.3122
_cell_angle_alpha 90.00
_cell_angle_beta 90.00
_cell_angle_gamma 90.00
loop_
_symmetry_equiv_pos_as_xyz
'x,y,z'
loop_
_atom_site_label
_atom_site_type_symbol
_atom_site_fract_x
_atom_site_fract_y
_atom_site_fract_z
Pm1 Pm 0.0000 0.0000 0.1994
Pm2 Pm 0.0000 0.0000 0.3997
Pm3 Pm 0.0000 0.0000 0.6003
Pm4 Pm 0.0000 0.0000 0.8006
Y1 Y 0.5000 0.5000 0.0000
Y2 Y 0.5000 0.5000 0.1990
Y3 Y 0.5000 0.5000 0.3997
Y4 Y 0.5000 0.5000 0.6003
Y5 Y 0.5000 0.5000 0.8010
Y6 Y 0.5000 0.0000 0.0987
Y7 Y 0.5000 0.0000 0.2994
Y8 Y 0.5000 0.0000 0.5000
Y9 Y 0.5000 0.0000 0.7006
Y10 Y 0.5000 0.0000 0.9013
Y11 Y 0.0000 0.5000 0.0987
Y12 Y 0.0000 0.5000 0.2994
Y13 Y 0.0000 0.5000 0.5000
Y14 Y 0.0000 0.5000 0.7006
Y15 Y 0.0000 0.5000 0.9013
Ho1 Ho 0.0000 0.0000 0.0000
# SG = P4/mmm, No. 123
# E_form = 0.02 eV/atom
# Mass density = 5299 kg/m3
# Total moment = 0.000 μB/atom